# 1
# Pr5TmIr4 (GGA-PBE, relaxed)
data_Pr5TmIr4
_chemical_formula_sum 'Pr10 Tm2 Ir8'
_symmetry_space_group_name_H-M 'C 1 2/m 1'
_symmetry_Int_Tables_number 12
_cell_length_a 18.8072
_cell_length_b 4.3127
_cell_length_c 7.6047
_cell_angle_alpha 90.00
_cell_angle_beta 113.71
_cell_angle_gamma 90.00
loop_
_symmetry_equiv_pos_as_xyz
'x,y,z'
'-x,-y,-z'
'-x,y,-z'
'x,-y,z'
'x+1/2,y+1/2,z'
'-x+1/2,-y+1/2,-z'
'-x+1/2,y+1/2,-z'
'x+1/2,-y+1/2,z'
loop_
_atom_site_label
_atom_site_fract_x
_atom_site_fract_y
_atom_site_fract_z
_atom_site_occupancy
Pr1 0.0000 0.0000 0.0000 1
Pr2 0.1641 0.5000 0.4204 1
Pr3 0.1642 0.5000 0.9076 1
Tm1 0.0000 0.0000 0.5000 1
Ir1 0.0000 0.5000 0.2623 1
Ir2 0.1970 0.0000 0.6969 1
# Fermi-level density of states in states/eV per cell: 12.46
# Volume in Å³ per atom: 28.2
# Calculated formation energy in eV per atom: -0.52
# ρ in g/cm3: 9.66

---

# 2
# InAg2Ru (GGA-PBE, relaxed)
data_InAg2Ru
_chemical_formula_sum 'In1 Ag2 Ru1'
_symmetry_space_group_name_H-M 'P 1 m 1'
_symmetry_Int_Tables_number 6
_cell_length_a 2.9852
_cell_length_b 3.9547
_cell_length_c 6.0046
_cell_angle_alpha 90.00
_cell_angle_beta 90.10
_cell_angle_gamma 90.00
loop_
_symmetry_equiv_pos_as_xyz
'x,y,z'
'x,-y,z'
loop_
_atom_site_label
_atom_site_fract_x
_atom_site_fract_y
_atom_site_fract_z
_atom_site_occupancy
In1 0.0000 0.0000 0.0000 1
Ag1 0.0007 0.0000 0.5242 1
Ag2 0.5001 0.5000 0.2860 1
Ru1 0.5007 0.5000 0.7851 1
# Fermi-level density of states in states/eV per cell: 3.04
# Volume in Å³ per atom: 17.7
# Calculated formation energy in eV per atom: 0.25
# ρ in g/cm3: 10.11

---

# 3
# Co2PbSe2 (GGA-PBE, relaxed)
data_Co2PbSe2
_chemical_formula_sum 'Co4 Pb2 Se4'
_symmetry_space_group_name_H-M 'I 4/m m m'
_symmetry_Int_Tables_number 139
_symmetry_space_group_name_Hall '-I 4 2'
_cell_length_a 4.4968
_cell_length_b 4.4968
_cell_length_c 9.0226
_cell_angle_alpha 90.00
_cell_angle_beta 90.00
_cell_angle_gamma 90.00
loop_
_atom_site_label
_atom_site_fract_x
_atom_site_fract_y
_atom_site_fract_z
_atom_site_occupancy
Co1 0.0000 0.0000 0.1469 1
Pb1 0.0000 0.0000 0.5000 1
Se1 0.0000 0.5000 0.2500 1
# Fermi-level density of states in states/eV per cell: 4.80
# Volume in Å³ per atom: 18.2
# Distance to the lowest polymorph of the same formula in meV per atom: 270.9
# ρ in g/cm3: 8.79